Record 1
The following is a DFT calculation (PBE-GGA) of La5Pr2Nd4 after structural relaxation.

The structure in extended XYZ format:
```
11
Lattice="5.912 0.000 -1.442 -0.352 6.305 -1.444 -0.553 1.252 10.572" Properties=species:S:1:pos:R:3 pbc="T T T"
Nd 4.892 5.508 7.215
Nd 1.142 6.657 4.680
Nd 3.865 0.900 3.006
Nd 0.115 2.048 0.471
La 0.290 5.673 1.189
La 4.717 1.884 6.497
La 4.117 4.520 4.037
La 0.890 3.036 3.649
La 2.956 0.000 -0.721
Pr 1.768 3.959 7.249
Pr 3.238 3.598 0.437
```

Output
- E_form (eV per atom) = 0.084
- symmetry = No. 12
- distance to the lowest polymorph of the same formula (eV/f.u.) = 0.00


Record 2
The following is a DFT calculation (PBE-GGA) of La2Pr4Nd3 after structural relaxation.

The structure in extended XYZ format:
```
9
Lattice="-3.559 3.506 -1.636 -4.436 -2.427 -3.991 -7.740 -4.882 6.352" Properties=species:S:1:pos:R:3 pbc="T T T"
Pr -7.018 -4.049 -1.858
Pr -12.208 -3.621 1.887
Pr -3.527 -0.181 -1.162
Pr -8.716 0.246 2.583
Nd -9.633 -1.994 -0.219
Nd -6.102 -1.809 0.944
Nd 0.000 0.000 0.000
La -8.686 -3.438 3.063
La -7.049 -0.364 -2.338
```

Output
- E_form (eV per atom) = 0.017
- symmetry = No. 2
- distance to the lowest polymorph of the same formula (eV/f.u.) = 0.00


Record 3
The following is a DFT calculation (PBE-GGA) of La3Pr2Nd7 after structural relaxation.

The structure in extended XYZ format:
```
12
Lattice="3.691 0.000 -0.482 0.000 5.837 0.000 0.865 0.000 20.814" Properties=species:S:1:pos:R:3 pbc="T T T"
Nd 4.189 2.918 17.522
Nd 3.028 2.918 8.693
Nd 0.366 2.918 2.810
Nd 0.000 0.000 0.000
Nd 1.528 2.918 11.640
Nd 2.317 0.000 3.397
Nd 2.238 0.000 16.936
La 0.990 0.000 7.514
La 1.845 2.918 -0.241
La 3.566 0.000 12.819
Pr 2.600 2.918 5.523
Pr 1.955 2.918 14.810
```

Output
- E_form (eV per atom) = 0.210
- symmetry = No. 10
- distance to the lowest polymorph of the same formula (eV/f.u.) = 1.64


Record 4
The following is a DFT calculation (PBE-GGA) of La2Pr3Nd2 after structural relaxation.

The structure in extended XYZ format:
```
7
Lattice="3.635 -0.528 0.550 -0.453 12.191 1.927 1.144 1.313 6.185" Properties=species:S:1:pos:R:3 pbc="T T T"
Pr 2.212 5.304 2.908
Pr 2.114 7.672 5.754
Pr 0.000 0.000 0.000
Nd 3.451 4.243 6.235
Nd 0.875 8.733 2.427
La 0.782 11.119 5.271
La 3.544 1.857 3.392
```

Output
- E_form (eV per atom) = 0.015
- symmetry = No. 2
- distance to the lowest polymorph of the same formula (eV/f.u.) = 0.00


Record 5
The following is a DFT calculation (PBE-GGA) of La2PrNd after structural relaxation.

The structure in extended XYZ format:
```
16
Lattice="6.373 0.000 0.000 0.000 7.340 -1.972 0.000 -0.543 12.606" Properties=species:S:1:pos:R:3 pbc="T T T"
Pr 2.137 5.629 6.204
Pr 4.236 5.900 -0.099
Pr 2.137 0.897 10.733
Pr 4.236 1.168 4.430
La 1.053 4.068 0.428
La 1.053 3.001 3.903
La 5.321 2.730 10.206
La 4.245 4.874 3.391
La 2.128 4.602 9.694
La 4.245 2.195 0.941
La 5.321 3.796 6.732
La 2.128 1.923 7.244
Nd 1.048 6.716 2.921
Nd 1.048 0.353 1.410
Nd 5.325 6.445 9.224
Nd 5.325 0.081 7.713
```

Output
- E_form (eV per atom) = 0.033
- symmetry = No. 13
- distance to the lowest polymorph of the same formula (eV/f.u.) = 0.10


Record 6
The following is a DFT calculation (PBE-GGA) of La5Pr2Nd2 after structural relaxation.

The structure in extended XYZ format:
```
18
Lattice="-4.277 -10.596 -3.869 2.463 -3.120 5.822 -5.698 8.235 2.556" Properties=species:S:1:pos:R:3 pbc="T T T"
La -5.618 4.606 2.408
La -3.180 -1.642 -0.580
La -4.251 3.380 5.441
La -2.204 -10.200 1.565
La -6.766 -6.931 -1.741
La -4.936 -3.076 3.663
La -2.133 -3.660 2.164
La -1.259 2.099 5.037
La -5.983 -1.058 0.919
La -3.301 -8.306 -1.224
Pr -3.961 -6.414 3.302
Pr 0.160 -0.202 0.377
Pr -3.092 0.351 2.292
Pr -0.747 -7.060 1.353
Nd -3.696 -5.033 -0.716
Nd -6.895 -4.366 0.995
Nd -0.376 -1.421 4.084
Nd -3.576 -0.754 5.795
```

Output
- E_form (eV per atom) = 0.158
- symmetry = No. 46
- distance to the lowest polymorph of the same formula (eV/f.u.) = 1.31


Record 7
The following is a DFT calculation (PBE-GGA) of La8Pr6Nd after structural relaxation.

The structure in extended XYZ format:
```
15
Lattice="-8.200 -5.526 1.816 0.061 -6.804 7.401 -4.749 0.228 7.077" Properties=species:S:1:pos:R:3 pbc="T T T"
Pr -7.221 -6.431 10.834
Pr -5.066 -3.750 9.026
Pr -8.720 -4.404 7.877
Pr -5.667 -5.672 5.460
Pr -7.822 -8.353 7.268
Pr -4.168 -7.699 8.417
La -9.157 -6.077 4.766
La -10.457 -7.169 9.349
La -3.730 -6.025 11.529
La -9.603 -9.211 12.097
La -6.470 -9.857 10.225
La -2.431 -4.933 6.946
La -3.285 -2.892 4.197
La -6.418 -2.246 6.070
Nd 0.000 0.000 0.000
```

Output
- E_form (eV per atom) = 0.106
- symmetry = No. 148
- distance to the lowest polymorph of the same formula (eV/f.u.) = 0.00


Record 8
The following is a DFT calculation (PBE-GGA) of LaPr5Nd after structural relaxation.

The structure in extended XYZ format:
```
7
Lattice="5.933 0.000 0.000 2.966 7.546 0.454 2.966 1.796 7.343" Properties=species:S:1:pos:R:3 pbc="T T T"
Pr 5.933 6.511 1.694
Pr 5.933 2.831 6.103
Pr 5.933 2.312 1.930
Pr 2.966 4.671 3.898
Pr 5.933 7.029 5.867
Nd 5.933 4.671 3.898
La 0.000 0.000 0.000
```

Output
- E_form (eV per atom) = 0.909
- symmetry = No. 71
- distance to the lowest polymorph of the same formula (eV/f.u.) = 5.17


Record 9
The following is a DFT calculation (PBE-GGA) of La2Pr8Nd3 after structural relaxation.

The structure in extended XYZ format:
```
13
Lattice="-6.015 1.649 -1.026 1.069 -3.306 -11.584 -4.897 -3.389 6.828" Properties=species:S:1:pos:R:3 pbc="T T T"
Nd 0.259 -0.800 -2.804
Nd 0.810 -2.506 -8.780
Nd -3.007 0.824 -0.513
Pr -2.785 -5.069 -5.123
Pr -6.663 -3.010 -2.847
Pr -1.274 -1.882 -5.894
Pr -7.058 0.023 -0.658
Pr -3.180 -2.036 -2.934
Pr -7.187 -1.391 2.825
Pr -2.657 -3.655 -8.607
Pr -8.569 -3.164 0.112
La -5.199 -2.696 -6.023
La -4.644 -2.350 0.242
```

Output
- E_form (eV per atom) = 0.142
- symmetry = No. 12
- distance to the lowest polymorph of the same formula (eV/f.u.) = 0.00


Record 10
The following is a DFT calculation (PBE-GGA) of La5Pr4Nd after structural relaxation.

The structure in extended XYZ format:
```
10
Lattice="-1.505 0.738 -3.152 -6.347 -1.556 2.667 0.702 13.855 4.930" Properties=species:S:1:pos:R:3 pbc="T T T"
La -3.792 4.803 2.935
La -3.359 8.234 1.510
La -3.926 -0.409 -0.242
La -6.458 7.358 2.785
La -0.693 5.679 1.660
Nd -0.753 0.369 -1.576
Pr -5.895 2.161 1.299
Pr -1.895 2.225 1.426
Pr -5.256 10.812 3.019
Pr -1.256 10.876 3.146
```

Output
- E_form (eV per atom) = 0.124
- symmetry = No. 12
- distance to the lowest polymorph of the same formula (eV/f.u.) = 0.00


Record 11
The following is a DFT calculation (PBE-GGA) of LaPr8Nd3 after structural relaxation.

The structure in extended XYZ format:
```
12
Lattice="-1.793 0.766 -3.178 -7.160 5.937 3.266 3.775 14.205 10.008" Properties=species:S:1:pos:R:3 pbc="T T T"
Pr 1.004 13.650 5.974
Pr -6.145 7.222 4.102
Pr -3.167 17.352 9.209
Pr 0.598 9.999 5.338
Pr -1.979 3.519 0.870
Pr -5.750 10.874 4.738
Pr -2.765 8.624 4.706
Pr -2.376 12.232 5.362
La -3.570 13.706 8.571
Nd -0.183 15.117 9.178
Nd -4.948 5.759 0.893
Nd -1.579 7.162 1.504
```

Output
- E_form (eV per atom) = 0.013
- symmetry = No. 1


Record 12
The following is a DFT calculation (PBE-GGA) of La3PrNd2 after structural relaxation.

The structure in extended XYZ format:
```
12
Lattice="3.507 0.000 0.000 0.000 6.912 0.000 0.000 0.000 18.194" Properties=species:S:1:pos:R:3 pbc="T T T"
Nd 1.753 5.365 2.789
Nd 0.000 1.909 6.308
Nd 0.000 5.003 11.886
Nd 1.753 1.547 15.404
Pr 0.000 0.000 9.097
Pr 1.753 3.456 0.000
La 0.000 1.588 12.377
La 0.000 0.000 0.000
La 1.753 1.868 3.281
La 0.000 5.324 5.816
La 1.753 3.456 9.097
La 1.753 5.044 14.913
```

Output
- E_form (eV per atom) = 0.217
- symmetry = No. 58
- distance to the lowest polymorph of the same formula (eV/f.u.) = 0.62


Record 13
The following is a DFT calculation (PBE-GGA) of La2Pr7Nd3 after structural relaxation.

The structure in extended XYZ format:
```
12
Lattice="-3.547 0.887 -0.435 -1.518 -5.891 0.370 -1.684 2.729 19.305" Properties=species:S:1:pos:R:3 pbc="T T T"
Pr -4.401 -2.122 15.988
Pr -3.066 0.392 10.222
Pr -3.683 -2.667 9.019
Pr -1.926 0.460 16.648
Pr -1.277 -3.622 3.028
Pr -2.348 -0.154 3.253
Pr 0.000 0.000 0.000
Nd -2.255 -2.899 12.486
Nd -2.533 -2.502 -0.032
Nd -0.947 -0.264 7.189
La -3.341 -2.895 5.763
La -3.408 0.619 13.477
```

Output
- E_form (eV per atom) = 0.080
- symmetry = No. 10
- distance to the lowest polymorph of the same formula (eV/f.u.) = 0.21


Record 14
The following is a DFT calculation (PBE-GGA) of LaPr3Nd3 after structural relaxation.

The structure in extended XYZ format:
```
7
Lattice="-7.048 3.846 1.103 2.144 -3.277 5.278 5.008 3.943 -1.603" Properties=species:S:1:pos:R:3 pbc="T T T"
La -3.939 2.149 0.616
Pr -0.960 3.196 -0.178
Pr 4.145 0.477 2.226
Pr -2.107 0.306 2.576
Nd 0.252 2.759 3.000
Nd -5.029 5.187 0.487
Nd -6.077 2.545 3.005
```

Output
- E_form (eV per atom) = 0.196
- symmetry = No. 160


Record 15
The following is a DFT calculation (PBE-GGA) of LaPr3Nd3 after structural relaxation.

The structure in extended XYZ format:
```
14
Lattice="-1.253 -5.449 7.144 1.883 -8.857 -0.559 7.094 -3.504 4.438" Properties=species:S:1:pos:R:3 pbc="T T T"
Nd 1.167 -6.030 7.104
Nd 6.273 -5.793 3.909
Nd 6.557 -11.780 3.919
Nd 1.614 -9.052 1.908
Nd 6.110 -8.757 9.115
Nd 1.451 -12.016 7.114
Pr 5.303 -8.773 2.568
Pr 7.110 -8.609 5.859
Pr 3.155 -11.605 3.790
Pr 2.421 -9.036 8.455
Pr 4.569 -6.204 7.233
Pr 0.614 -9.200 5.163
La 5.002 -11.534 7.139
La 2.722 -6.276 3.884
```

Output
- E_form (eV per atom) = 0.194
- symmetry = No. 148


Record 16
The following is a DFT calculation (PBE-GGA) of LaPr3Nd2 after structural relaxation.

The structure in extended XYZ format:
```
6
Lattice="-1.678 0.474 3.103 0.915 -5.898 1.395 9.117 5.099 2.109" Properties=species:S:1:pos:R:3 pbc="T T T"
La 0.000 0.000 0.000
Nd 2.042 -2.050 3.458
Nd 6.312 1.725 3.149
Pr 0.458 -2.949 0.698
Pr 3.325 0.908 1.659
Pr 5.030 -1.234 4.949
```

Output
- E_form (eV per atom) = 0.276
- symmetry = No. 71
- distance to the lowest polymorph of the same formula (eV/f.u.) = 1.60


Record 17
The following is a DFT calculation (PBE-GGA) of La5PrNd after structural relaxation.

The structure in extended XYZ format:
```
14
Lattice="6.494 0.177 2.758 2.485 6.002 2.758 1.031 0.710 13.928" Properties=species:S:1:pos:R:3 pbc="T T T"
Nd 6.135 2.354 13.204
Nd 3.875 4.535 6.240
La 2.824 2.995 11.931
La 7.186 3.895 7.514
La 6.720 5.676 14.477
La 6.129 4.044 3.722
La 6.104 1.295 6.240
La 3.881 2.845 15.723
La 6.482 4.635 10.686
La 3.290 1.213 4.967
La 3.906 5.594 13.204
La 3.528 2.254 8.759
Pr 0.000 0.000 0.000
Pr 0.516 0.355 6.964
```

Output
- E_form (eV per atom) = 0.117
- symmetry = No. 15
- distance to the lowest polymorph of the same formula (eV/f.u.) = 0.00


Record 18
The following is a DFT calculation (PBE-GGA) of La3Pr5Nd3 after structural relaxation.

The structure in extended XYZ format:
```
11
Lattice="5.817 0.000 0.000 0.000 9.833 0.000 0.000 -4.917 8.516" Properties=species:S:1:pos:R:3 pbc="T T T"
Pr 2.908 7.114 0.000
Pr 2.908 4.917 2.839
Pr 2.908 0.000 5.677
Pr 2.908 1.360 2.355
Pr 2.908 -3.557 6.161
La 0.000 -2.256 3.907
La 0.000 2.661 4.609
La 0.000 4.511 0.000
Nd 2.908 3.111 5.389
Nd 2.908 3.611 0.000
Nd 2.908 -1.805 3.127
```

Output
- E_form (eV per atom) = 0.643
- symmetry = No. 189
- distance to the lowest polymorph of the same formula (eV/f.u.) = 4.03


Record 19
The following is a DFT calculation (PBE-GGA) of LaPrNd3 after structural relaxation.

The structure in extended XYZ format:
```
20
Lattice="-1.909 -3.180 0.049 1.285 -0.612 10.359 -15.704 9.468 2.507" Properties=species:S:1:pos:R:3 pbc="T T T"
Pr -14.616 5.583 3.451
Pr -10.844 3.391 8.131
Pr -1.713 0.093 9.464
Pr -5.485 2.285 4.784
Nd -13.971 5.276 8.654
Nd -5.196 -0.096 1.956
Nd -4.846 1.981 9.941
Nd -7.691 1.490 7.632
Nd -2.064 -1.984 1.452
Nd -4.557 -0.399 7.137
Nd -14.265 7.660 11.464
Nd -11.772 6.075 5.779
Nd -11.133 5.772 10.959
Nd -11.483 3.695 2.975
Nd -8.638 4.186 5.283
Nd -2.358 0.400 4.261
La -8.337 1.798 2.459
La -1.416 -2.293 6.636
La -7.992 3.878 10.456
La -14.913 7.969 6.279
```

Output
- E_form (eV per atom) = 0.011
- symmetry = No. 62
- distance to the lowest polymorph of the same formula (eV/f.u.) = 0.00


Record 20
The following is a DFT calculation (PBE-GGA) of La2PrNd8 after structural relaxation.

The structure in extended XYZ format:
```
11
Lattice="-5.276 -4.359 0.877 -2.659 -6.853 -7.592 0.895 -10.173 -2.716" Properties=species:S:1:pos:R:3 pbc="T T T"
Nd -4.784 -7.754 -1.793
Nd -1.426 -11.820 -4.708
Nd -3.932 -11.136 -2.416
Nd -4.904 -13.222 -5.429
Nd -3.107 -10.249 -7.016
Nd -5.614 -9.565 -4.723
Nd -2.255 -13.632 -7.639
Nd -2.135 -8.163 -4.003
La -2.494 -5.188 -1.715
La -4.545 -16.197 -7.716
Pr 0.000 0.000 0.000
```

Output
- E_form (eV per atom) = 0.138
- symmetry = No. 12


Record 21
The following is a DFT calculation (PBE-GGA) of La3Pr2Nd6 after structural relaxation.

The structure in extended XYZ format:
```
11
Lattice="-0.014 -2.319 -4.335 -2.388 -3.786 2.033 -13.782 10.413 -2.739" Properties=species:S:1:pos:R:3 pbc="T T T"
Nd -12.602 3.711 -1.945
Nd -3.582 0.597 -3.096
Nd -11.415 4.445 -5.129
Nd -6.989 -0.209 -2.654
Nd -9.195 4.517 -2.387
Nd -4.769 -0.137 0.088
La -6.162 3.027 -1.600
La -10.022 1.281 -3.441
La 0.000 0.000 0.000
Pr -2.558 -2.386 -1.503
Pr -13.626 6.694 -3.538
```

Output
- E_form (eV per atom) = 0.237
- symmetry = No. 139
- distance to the lowest polymorph of the same formula (eV/f.u.) = 2.45